# 1
Here is a relaxed TbErZr crystal from the Alexandria database. Energies are from PBE.

Output
space group: P3m1, No. 156
ΔE_f: 0.086 eV/atom

Cell: 3.4038 3.4038 8.3940 Å, 90.00 90.00 120.00°
Atoms (fractional coordinates):
Tb (0.0000, 0.0000, 0.0167)
Zr (0.6667, 0.3333, 0.3345)
Er (0.3333, 0.6667, 0.6488)


# 2
Here is a relaxed LaIn9Rh2 crystal from the Alexandria database. Energies are from PBE.

Output
space group: I4_1/amd, No. 141
ΔE_f: -0.195 eV/atom

Cell: 7.4118 9.4433 9.4433 Å, 81.14 66.89 66.89°
Atoms (fractional coordinates):
La (0.5000, 0.0000, 0.0000)
La (0.2500, 0.5000, 0.5000)
In (0.7500, 0.5000, 0.5000)
In (0.0000, 0.0000, 0.0000)
In (0.9872, 0.9334, 0.6932)
In (0.6138, 0.0666, 0.3068)
In (0.6706, 0.1932, 0.5666)
In (0.4304, 0.8068, 0.4334)
In (0.7628, 0.8068, 0.5666)
In (0.1362, 0.1932, 0.4334)
In (0.0794, 0.9334, 0.3068)
In (0.3196, 0.0666, 0.6932)
In (0.7628, 0.5666, 0.8068)
In (0.1362, 0.4334, 0.1932)
In (0.0794, 0.3068, 0.9334)
In (0.3196, 0.6932, 0.0666)
In (0.9872, 0.6932, 0.9334)
In (0.6138, 0.3068, 0.0666)
In (0.6706, 0.5666, 0.1932)
In (0.4304, 0.4334, 0.8068)
Rh (0.8750, 0.2500, 0.7500)
Rh (0.8750, 0.7500, 0.2500)
Rh (0.8750, 0.2500, 0.2500)
Rh (0.3750, 0.7500, 0.7500)


# 3
Here is a relaxed MgTiBe crystal from the Alexandria database. Energies are from PBE.

Output
space group: I4mm, No. 107
ΔE_f: 0.091 eV/atom

Cell: 2.8675 2.8675 5.9766 Å, 103.88 103.88 90.00°
Atoms (fractional coordinates):
Be (0.6747, 0.6747, 0.3495)
Mg (0.0182, 0.0182, 0.0365)
Ti (0.3070, 0.3070, 0.6140)


# 4
Here is a relaxed Ti2BeFeRe crystal from the Alexandria database. Energies are from PBE.

Output
space group: P4/mmm, No. 123
ΔE_f: 0.681 eV/atom

Cell: 4.3109 3.9679 4.3109 Å, 90.00 90.00 90.00°
Atoms (fractional coordinates):
Re (0.0000, 0.5000, 0.0000)
Be (0.0000, 0.0000, 0.0000)
Fe (0.5000, 0.5000, 0.5000)
Ti (0.0000, 0.0000, 0.5000)
Ti (0.5000, 0.0000, 0.0000)


# 5
Here is a relaxed AcSi2Ir3 crystal from the Alexandria database. Energies are from PBE.

Output
space group: P6/mmm, No. 191
ΔE_f (raw): -0.652 eV/atom

Cell: 4.0093 9.5379 9.5379 Å, 120.00 90.00 90.00°
Atoms (fractional coordinates):
Ac (0.5000, 0.0000, 0.0000)
Ac (0.0000, 0.6667, 0.3333)
Ac (0.0000, 0.3333, 0.6667)
Si (0.5000, 0.8122, 0.1878)
Si (0.5000, 0.3756, 0.1878)
Si (0.5000, 0.8122, 0.6244)
Si (0.5000, 0.1878, 0.8122)
Si (0.5000, 0.6244, 0.8122)
Si (0.5000, 0.1878, 0.3756)
Ir (0.5000, 0.5000, 0.5000)
Ir (0.5000, 0.0000, 0.5000)
Ir (0.5000, 0.5000, 0.0000)
Ir (0.0000, 0.7165, 0.7165)
Ir (0.0000, 0.0000, 0.2835)
Ir (0.0000, 0.2835, 0.0000)
Ir (0.0000, 0.2835, 0.2835)
Ir (0.0000, 0.0000, 0.7165)
Ir (0.0000, 0.7165, 0.0000)


# 6
Here is a relaxed KCaSc crystal from the Alexandria database. Energies are from PBE.

Output
space group: Fmm2, No. 42
ΔE_f: 0.399 eV/atom

Cell: 10.0929 9.8791 3.5785 Å, 83.07 76.33 20.61°
Atoms (fractional coordinates):
Ca (0.0180, 0.0180, 0.9820)
K (0.3264, 0.3264, 0.6736)
Sc (0.6556, 0.6556, 0.3444)


# 7
Here is a relaxed SiOs2Pt crystal from the Alexandria database. Energies are from PBE.

Output
space group: Cm, No. 8
ΔE_f (raw): -0.149 eV/atom

Cell: 9.5495 2.7942 10.0511 Å, 90.00 120.73 90.00°
Atoms (fractional coordinates):
Si (0.3259, 0.0000, 0.8686)
Si (0.3259, 0.5000, 0.3686)
Si (0.6467, 0.0000, 0.6946)
Si (0.6467, 0.5000, 0.1946)
Os (0.0651, 0.0000, 0.8563)
Os (0.0651, 0.5000, 0.3563)
Os (0.1101, 0.0000, 0.1446)
Os (0.1101, 0.5000, 0.6446)
Os (0.8581, 0.0000, 0.4139)
Os (0.8581, 0.5000, 0.9139)
Os (0.8261, 0.0000, 0.1283)
Os (0.8261, 0.5000, 0.6283)
Pt (0.3561, 0.0000, 0.6015)
Pt (0.3561, 0.5000, 0.1015)
Pt (0.5510, 0.0000, 0.3991)
Pt (0.5510, 0.5000, 0.8991)


# 8
Here is a relaxed Cs12S5I3 crystal from the Alexandria database. Energies are from PBE.

Output
space group: Ia-3d, No. 230
ΔE_f (raw): -1.055 eV/atom

Cell: 18.4499 18.4499 18.4499 Å, 109.47 109.47 109.47°
Atoms (fractional coordinates):
I (0.7500, 0.3750, 0.1250)
I (0.8750, 0.7500, 0.1250)
I (0.3750, 0.7500, 0.6250)
I (0.2500, 0.1250, 0.3750)
I (0.8750, 0.1250, 0.2500)
I (0.3750, 0.6250, 0.2500)
I (0.6250, 0.3750, 0.7500)
I (0.1250, 0.8750, 0.7500)
I (0.7500, 0.8750, 0.6250)
I (0.6250, 0.2500, 0.3750)
I (0.1250, 0.2500, 0.8750)
I (0.2500, 0.6250, 0.8750)
S (0.1250, 0.3750, 0.2500)
S (0.0000, 0.5000, 0.0000)
S (0.0000, 0.0000, 0.0000)
S (0.3750, 0.2500, 0.1250)
S (0.5000, 0.0000, 0.5000)
S (0.5000, 0.5000, 0.0000)
S (0.1250, 0.7500, 0.3750)
S (0.7500, 0.1250, 0.8750)
S (0.7500, 0.6250, 0.3750)
S (0.3750, 0.1250, 0.7500)
S (0.6250, 0.8750, 0.2500)
S (0.5000, 0.5000, 0.5000)
S (0.5000, 0.0000, 0.0000)
S (0.0000, 0.0000, 0.5000)
S (0.2500, 0.3750, 0.6250)
S (0.2500, 0.8750, 0.1250)
S (0.0000, 0.5000, 0.5000)
S (0.8750, 0.2500, 0.6250)
S (0.6250, 0.7500, 0.8750)
S (0.8750, 0.6250, 0.7500)
Cs (0.7048, 0.1195, 0.0288)
Cs (0.3239, 0.5288, 0.4093)
Cs (0.9712, 0.3805, 0.2952)
Cs (0.5288, 0.2048, 0.1195)
Cs (0.5854, 0.7048, 0.6761)
Cs (0.9712, 0.5907, 0.1761)
Cs (0.3239, 0.7952, 0.4146)
Cs (0.0907, 0.9146, 0.1195)
Cs (0.5907, 0.9712, 0.6761)
Cs (0.7048, 0.5854, 0.1761)
Cs (0.7952, 0.4712, 0.3805)
Cs (0.8239, 0.9093, 0.0288)
Cs (0.1195, 0.7048, 0.5288)
Cs (0.3805, 0.4093, 0.0854)
Cs (0.0854, 0.9093, 0.3805)
Cs (0.4146, 0.1195, 0.5907)
Cs (0.0854, 0.1761, 0.2048)
Cs (0.4712, 0.6761, 0.0907)
Cs (0.8239, 0.9146, 0.2952)
Cs (0.1195, 0.4146, 0.0907)
Cs (0.3805, 0.9712, 0.7952)
Cs (0.5907, 0.6195, 0.4146)
Cs (0.9093, 0.8239, 0.5288)
Cs (0.7952, 0.3239, 0.9146)
Cs (0.4093, 0.3805, 0.5854)
Cs (0.0907, 0.1761, 0.4712)
Cs (0.2048, 0.6761, 0.0854)
Cs (0.1761, 0.0854, 0.7048)
Cs (0.6195, 0.0288, 0.2048)
Cs (0.8805, 0.5854, 0.9093)
Cs (0.5288, 0.3239, 0.9093)
Cs (0.5854, 0.8805, 0.4093)
Cs (0.9146, 0.8239, 0.7952)
Cs (0.9146, 0.0907, 0.6195)
Cs (0.8805, 0.2952, 0.4712)
Cs (0.1761, 0.0907, 0.9712)
Cs (0.6195, 0.5907, 0.9146)
Cs (0.4093, 0.0288, 0.3239)
Cs (0.2952, 0.4146, 0.8239)
Cs (0.2048, 0.5288, 0.6195)
Cs (0.9093, 0.0854, 0.8805)
Cs (0.6761, 0.2048, 0.5854)
Cs (0.4712, 0.7952, 0.8805)
Cs (0.0288, 0.4093, 0.8239)
Cs (0.4146, 0.2952, 0.3239)
Cs (0.0288, 0.6195, 0.7048)
Cs (0.6761, 0.4712, 0.5907)
Cs (0.2952, 0.8805, 0.9712)


Taking the records one at a time from the top gives mass density values of 8.2 8.2 2.9 7.8 13.6 1.8 17.4 2.9 g/cm³.